# ScSiS3, relaxed, DFT PBE
# SG: No. 221
# Uncorrected formation energy, eV/f.u.: -2.4
# D(E_F), states/eV/f.u.: 1.44
# Energy above the most stable polymorph in this dataset, kcal/mol of atoms: 12.082
data_ScSiS3
_chemical_formula_sum 'Sc1 Si1 S3'
_space_group_name_H-M_alt 'P 1'
_space_group_IT_number 1
_cell_length_a 4.510
_cell_length_b 4.510
_cell_length_c 4.510
_cell_angle_alpha 90.00
_cell_angle_beta 90.00
_cell_angle_gamma 90.00
loop_
_space_group_symop_operation_xyz
'x,y,z'
loop_
_atom_site_label
_atom_site_fract_x
_atom_site_fract_y
_atom_site_fract_z
Sc1 0.000 0.000 0.000
Si1 0.500 0.500 0.500
S1 0.000 0.500 0.500
S2 0.500 0.000 0.500
S3 0.500 0.500 0.000

# ScSi3S, relaxed, DFT PBE
# SG: No. 221
# Uncorrected formation energy, eV/f.u.: 6.0
# D(E_F), states/eV/f.u.: 4.92
# Energy above the most stable polymorph in this dataset, kcal/mol of atoms: 17.091
data_ScSi3S
_chemical_formula_sum 'Sc1 Si3 S1'
_space_group_name_H-M_alt 'P 1'
_space_group_IT_number 1
_cell_length_a 5.088
_cell_length_b 5.088
_cell_length_c 5.088
_cell_angle_alpha 90.00
_cell_angle_beta 90.00
_cell_angle_gamma 90.00
loop_
_space_group_symop_operation_xyz
'x,y,z'
loop_
_atom_site_label
_atom_site_fract_x
_atom_site_fract_y
_atom_site_fract_z
Sc1 0.000 0.000 0.000
Si1 0.000 0.000 0.500
Si2 0.000 0.500 0.000
Si3 0.500 0.000 0.000
S1 0.500 0.500 0.500

# ScSiS2, relaxed, DFT PBE
# SG: No. 122
# Uncorrected formation energy, eV/f.u.: -2.2
# D(E_F), states/eV/f.u.: 3.01
data_ScSiS2
_chemical_formula_sum 'Sc4 Si4 S8'
_space_group_name_H-M_alt 'P 1'
_space_group_IT_number 1
_cell_length_a 5.571
_cell_length_b 5.571
_cell_length_c 12.211
_cell_angle_alpha 90.00
_cell_angle_beta 90.00
_cell_angle_gamma 90.00
loop_
_space_group_symop_operation_xyz
'x,y,z'
loop_
_atom_site_label
_atom_site_fract_x
_atom_site_fract_y
_atom_site_fract_z
Sc1 0.000 0.000 0.000
Sc2 0.000 0.500 0.250
Sc3 0.500 0.000 0.750
Sc4 0.500 0.500 0.500
Si1 0.000 0.000 0.500
Si2 0.000 0.500 0.750
Si3 0.500 0.000 0.250
Si4 0.500 0.500 0.000
S1 0.245 0.250 0.625
S2 0.250 0.745 0.875
S3 0.250 0.755 0.375
S4 0.255 0.250 0.125
S5 0.745 0.750 0.125
S6 0.750 0.245 0.375
S7 0.750 0.255 0.875
S8 0.755 0.750 0.625